No. 1
VASP calculation (PBE-GGA) on a relaxed Cd2TePt crystal.

a = 4.7725 Å, b = 4.7725 Å, c = 3.9891 Å
α = 90.00°, β = 90.00°, γ = 105.74°
Closest atoms and distances in Å follow each position.
Positions (direct):
Te 0.0000 0.5000 0.5000  2 Pt 2.88, 8 Cd 3.11
Pt 0.5000 0.0000 0.5000  2 Te 2.88, 8 Cd 3.11
Cd 0.0000 0.0000 0.0000  2 Cd 2.88, 4 Pt 3.11, 4 Te 3.11
Cd 0.5000 0.5000 0.0000  2 Cd 2.88, 4 Te 3.11, 4 Pt 3.11

## Properties
The value obtained for the raw formation energy is 0.00 eV/f.u.

***

No. 2
VASP calculation (PBE-GGA) on a relaxed CdTe2Pt crystal.

a = 7.1221 Å, b = 7.1221 Å, c = 7.1221 Å
α = 34.34°, β = 34.34°, γ = 34.34°
Closest atoms and distances in Å follow each position.
Positions (direct):
Te 0.0249 0.0249 0.0249  3 Pt 2.67
Te 0.2367 0.2367 0.2367  3 Cd 2.89
Pt 0.7465 0.7465 0.7465  3 Te 2.67, 3 Cd 2.90
Cd 0.4919 0.4919 0.4919  3 Te 2.89, 3 Pt 2.90

## Properties
The value obtained for the raw formation energy is -0.59 eV/f.u.

***

No. 3
VASP calculation (PBE-GGA) on a relaxed Cd2TePt crystal.

a = 4.5211 Å, b = 4.5263 Å, c = 4.1696 Å
α = 90.00°, β = 90.00°, γ = 90.00°
Closest atoms and distances in Å follow each position.
Positions (direct):
Te 0.0000 0.5000 0.5000  8 Cd 3.08, 4 Pt 3.20
Pt 0.5000 0.0000 0.5000  8 Cd 3.08, 4 Te 3.20
Cd 0.0000 0.0000 0.0000  4 Pt 3.08, 4 Te 3.08, 4 Cd 3.20
Cd 0.5000 0.5000 0.0000  4 Te 3.08, 4 Pt 3.08, 4 Cd 3.20

## Properties
The value obtained for the raw formation energy is 0.04 eV/f.u.

***

No. 4
VASP calculation (PBE-GGA) on a relaxed Cd2TePt crystal.

a = 6.7544 Å, b = 6.7544 Å, c = 6.7544 Å
α = 36.76°, β = 36.76°, γ = 36.76°
Closest atoms and distances in Å follow each position.
Positions (direct):
Te 0.7737 0.7737 0.7737  3 Pt 2.68
Pt 0.4968 0.4968 0.4968  3 Te 2.68, 3 Cd 2.82
Cd 0.9932 0.9932 0.9932  3 Cd 2.99, 3 Te 3.27
Cd 0.2364 0.2364 0.2364  3 Pt 2.82, 3 Cd 2.99

## Properties
The value obtained for the raw formation energy is -0.31 eV/f.u.

***

No. 5
VASP calculation (PBE-GGA) on a relaxed CdTe2Pt crystal.

a = 5.2921 Å, b = 5.2921 Å, c = 7.5731 Å
α = 60.87°, β = 60.87°, γ = 43.83°
Closest atoms and distances in Å follow each position.
Positions (direct):
Te 0.8850 0.8850 0.0859  2 Pt 2.67, 1 Cd 2.86
Te 0.7466 0.7466 0.6360  2 Pt 2.70
Pt 0.3102 0.3102 0.3597  4 Te 2.67-2.70, 1 Cd 2.70
Cd 0.5582 0.5582 0.4184  3 Pt 2.70-3.01, 1 Te 2.86

## Properties
The value obtained for the raw formation energy is -1.03 eV/f.u.

***

No. 6
VASP calculation (PBE-GGA) on a relaxed CdTe2Pt crystal.

a = 4.0074 Å, b = 5.9112 Å, c = 4.1242 Å
α = 90.00°, β = 90.00°, γ = 90.00°
Closest atoms and distances in Å follow each position.
Positions (direct):
Te 0.0000 0.0000 0.0000  4 Cd 2.88
Te 0.5000 0.5000 0.0000  4 Pt 2.88
Pt 0.0000 0.5000 0.5000  4 Te 2.88
Cd 0.5000 0.0000 0.5000  4 Te 2.88

## Properties
The value obtained for the raw formation energy is 0.77 eV/f.u.

***

No. 7
VASP calculation (PBE-GGA) on a relaxed CdTe2Pt crystal.

a = 4.1526 Å, b = 3.3221 Å, c = 7.7236 Å
α = 83.41°, β = 90.00°, γ = 90.00°
Closest atoms and distances in Å follow each position.
Positions (direct):
Te 0.0000 0.8760 0.9197  2 Pt 2.72
Te 0.5000 0.1434 0.3316  1 Pt 2.77, 2 Cd 3.05
Pt 0.5000 0.9735 0.6909  3 Te 2.72-2.77, 4 Cd 2.84-2.85
Cd 0.0000 0.5071 0.5578  4 Pt 2.84-2.85, 3 Te 3.05-3.18

## Properties
The value obtained for the raw formation energy is -0.54 eV/f.u.

***

No. 8
VASP calculation (PBE-GGA) on a relaxed CdTe3Pt crystal.

a = 5.3570 Å, b = 5.3570 Å, c = 5.3570 Å
α = 90.00°, β = 90.00°, γ = 90.00°
Closest atoms and distances in Å follow each position.
Positions (direct):
Te 0.0000 0.5000 0.0000  2 Pt 2.68
Te 0.0000 0.0000 0.5000  2 Pt 2.68
Te 0.5000 0.0000 0.0000  2 Pt 2.68
Pt 0.0000 0.0000 0.0000  6 Te 2.68
Cd 0.5000 0.5000 0.5000  12 Te 3.79

## Properties
The value obtained for the raw formation energy is 1.52 eV/f.u. Its excess energy over the best structure of this formula in the dataset is 0 meV/atom.

***

No. 9
VASP calculation (PBE-GGA) on a relaxed CdTePt2 crystal.

a = 4.9420 Å, b = 4.9420 Å, c = 4.9420 Å
α = 126.28°, β = 126.40°, γ = 79.34°
Closest atoms and distances in Å follow each position.
Positions (direct):
Te 0.2500 0.7500 0.5000  8 Pt 2.93, 4 Cd 3.15
Pt 0.0005 0.0005 0.0000  4 Cd 2.93-2.94, 4 Te 2.93, 4 Pt 3.15
Pt 0.4995 0.4995 0.0000  4 Cd 2.93-2.94, 4 Te 2.93, 4 Pt 3.15
Cd 0.7500 0.2500 0.5000  8 Pt 2.93-2.94, 4 Te 3.15

## Properties
The value obtained for the raw formation energy is -0.05 eV/f.u. Its excess energy over the best structure of this formula in the dataset is 112 meV/atom.

***

No. 10
VASP calculation (PBE-GGA) on a relaxed CdTe2Pt crystal.

a = 3.7076 Å, b = 3.7075 Å, c = 7.9069 Å
α = 90.00°, β = 90.00°, γ = 90.00°
Closest atoms and distances in Å follow each position.
Positions (direct):
Te 0.0000 0.0000 0.8814  4 Pt 2.77, 1 Cd 2.90
Te 0.5000 0.5000 0.3359  4 Cd 2.98
Pt 0.5000 0.5000 0.7681  4 Te 2.77
Cd 0.0000 0.0000 0.5146  5 Te 2.90-2.98

## Properties
The value obtained for the raw formation energy is -0.09 eV/f.u.

***

No. 11
VASP calculation (PBE-GGA) on a relaxed CdTePt3 crystal.

a = 4.9633 Å, b = 4.9633 Å, c = 4.9633 Å
α = 90.00°, β = 90.00°, γ = 90.00°
Closest atoms and distances in Å follow each position.
Positions (direct):
Te 0.0000 0.0000 0.0000  6 Pt 2.48
Pt 0.0000 0.5000 0.0000  2 Te 2.48
Pt 0.0000 0.0000 0.5000  2 Te 2.48
Pt 0.5000 0.0000 0.0000  2 Te 2.48
Cd 0.5000 0.5000 0.5000  12 Pt 3.51

## Properties
The value obtained for the raw formation energy is 2.97 eV/f.u. Its excess energy over the best structure of this formula in the dataset is 0 meV/atom.

***

No. 12
VASP calculation (PBE-GGA) on a relaxed Cd2TePt2 crystal.

a = 7.9851 Å, b = 7.9851 Å, c = 3.1337 Å
α = 90.00°, β = 90.00°, γ = 90.00°
Closest atoms and distances in Å follow each position.
Positions (direct):
Te 0.0000 0.0000 0.0000  4 Pt 2.97, 2 Te 3.13
Te 0.5000 0.5000 0.0000  4 Pt 2.97, 2 Te 3.13
Pt 0.3331 0.8331 0.0000  6 Cd 2.76-2.87, 2 Te 2.97
Pt 0.8331 0.6669 0.0000  6 Cd 2.76-2.87, 2 Te 2.97
Pt 0.6669 0.1669 0.0000  6 Cd 2.76-2.87, 2 Te 2.97
Pt 0.1669 0.3331 0.0000  6 Cd 2.76-2.87, 2 Te 2.97
Cd 0.1314 0.6314 0.5000  6 Pt 2.76-2.87, 1 Cd 2.97
Cd 0.6314 0.8686 0.5000  6 Pt 2.76-2.87, 1 Cd 2.97
Cd 0.8686 0.3686 0.5000  6 Pt 2.76-2.87, 1 Cd 2.97
Cd 0.3686 0.1314 0.5000  6 Pt 2.76-2.87, 1 Cd 2.97

## Properties
The value obtained for the raw formation energy is -0.93 eV/f.u. Its excess energy over the best structure of this formula in the dataset is 0 meV/atom.

***

No. 13
VASP calculation (PBE-GGA) on a relaxed CdTe2Pt crystal.

a = 6.8879 Å, b = 6.8879 Å, c = 6.8879 Å
α = 146.87°, β = 140.60°, γ = 52.40°
Closest atoms and distances in Å follow each position.
Positions (direct):
Te 0.0998 0.0998 0.0000  2 Pt 2.70, 2 Cd 2.97
Te 0.4002 0.4002 0.0000  2 Pt 2.70, 2 Cd 2.97
Pt 0.2500 0.7500 0.5000  4 Te 2.70
Cd 0.7500 0.2500 0.5000  4 Te 2.97, 4 Pt 3.04

## Properties
The value obtained for the raw formation energy is -1.12 eV/f.u.

***

No. 14
VASP calculation (PBE-GGA) on a relaxed Cd2TePt crystal.

a = 6.3269 Å, b = 6.3269 Å, c = 7.8914 Å
α = 66.37°, β = 66.37°, γ = 90.00°
Closest atoms and distances in Å follow each position.
Positions (direct):
Te 0.5000 0.5000 0.0000  4 Cd 2.86
Te 0.2500 0.7500 0.5000  4 Cd 2.86
Pt 0.0000 0.0000 0.0000  4 Cd 2.68
Pt 0.7500 0.2500 0.5000  4 Cd 2.68
Cd 0.6495 0.1250 0.2500  2 Pt 2.68, 2 Te 2.86
Cd 0.1005 0.6250 0.2500  2 Pt 2.68, 2 Te 2.86
Cd 0.3750 0.3505 0.7500  2 Pt 2.68, 2 Te 2.86
Cd 0.8750 0.8995 0.7500  2 Pt 2.68, 2 Te 2.86

## Properties
The value obtained for the raw formation energy is 0.32 eV/f.u.

***

No. 15
VASP calculation (PBE-GGA) on a relaxed CdTe2Pt crystal.

a = 9.8266 Å, b = 9.8266 Å, c = 9.8266 Å
α = 23.60°, β = 23.60°, γ = 23.60°
Closest atoms and distances in Å follow each position.
Positions (direct):
Te 0.8821 0.8821 0.8821  3 Pt 2.71
Te 0.1179 0.1179 0.1179  3 Pt 2.71
Pt 0.5000 0.5000 0.5000  6 Te 2.71
Cd 0.0000 0.0000 0.0000  2 Te 3.38

## Properties
The value obtained for the raw formation energy is -0.69 eV/f.u.